(1)
TlCd5Hg7: relaxed, PBE-GGA.

Structure (CIF):
```
data_TlCd5Hg7
_cell_length_a 6.194
_cell_length_b 10.515
_cell_length_c 10.360
_cell_angle_alpha 90.00
_cell_angle_beta 90.00
_cell_angle_gamma 90.00
_space_group_name_H-M_alt 'I m m 2'
_space_group_IT_number 44
loop_
_space_group_symop_operation_xyz
'x,y,z'
'-x,-y,z'
'-x,y,z'
'x,-y,z'
'x+1/2,y+1/2,z+1/2'
'-x+1/2,-y+1/2,z+1/2'
'-x+1/2,y+1/2,z+1/2'
'x+1/2,-y+1/2,z+1/2'
loop_
_atom_site_label
_atom_site_type_symbol
_atom_site_fract_x
_atom_site_fract_y
_atom_site_fract_z
_atom_site_occupancy
Tl1 Tl 0.000 0.000 0.000 1
Cd1 Cd 0.000 0.500 0.785 1
Cd2 Cd 0.248 0.245 0.792 1
Hg1 Hg 0.000 0.000 0.323 1
Hg2 Hg 0.000 0.000 0.621 1
Hg3 Hg 0.000 0.321 0.545 1
Hg4 Hg 0.000 0.337 0.039 1
Hg5 Hg 0.000 0.500 0.300 1
```

(2)
# PBE-GGA Tl2CdHg, relaxed
# Distance to the lowest polymorph of the same formula = 6 meV/atom
data_Tl2CdHg
_cell_length_a 3.581
_cell_length_b 3.581
_cell_length_c 8.722
_cell_angle_alpha 90.00
_cell_angle_beta 90.00
_cell_angle_gamma 90.00
_space_group_name_H-M_alt 'P 4 m m'
_space_group_IT_number 99
loop_
_space_group_symop_operation_xyz
'x,y,z'
'-y,x,z'
'-x,-y,z'
'y,-x,z'
'-x,y,z'
'y,x,z'
'x,-y,z'
'-y,-x,z'
loop_
_atom_site_label
_atom_site_type_symbol
_atom_site_fract_x
_atom_site_fract_y
_atom_site_fract_z
_atom_site_occupancy
Tl1 Tl 0.000 0.000 0.000 1
Tl2 Tl 0.500 0.500 0.285 1
Cd1 Cd 0.000 0.000 0.534 1
Hg1 Hg 0.500 0.500 0.746 1

(3)
# PBE-GGA TlCdHg2, relaxed
# Distance to the lowest polymorph of the same formula = 16 meV/atom
data_TlCdHg2
_cell_length_a 3.5252
_cell_length_b 3.5252
_cell_length_c 30.2359
_cell_angle_alpha 90.00
_cell_angle_beta 90.00
_cell_angle_gamma 120.00
_space_group_name_H-M_alt 'R 3 m'
_space_group_IT_number 160
_space_group_name_Hall 'R 3 -2"'
loop_
_atom_site_label
_atom_site_type_symbol
_atom_site_fract_x
_atom_site_fract_y
_atom_site_fract_z
_atom_site_occupancy
Tl1 Tl 0.0000 0.0000 0.0000 1
Cd1 Cd 0.0000 0.0000 0.1683 1
Hg1 Hg 0.0000 0.0000 0.5794 1
Hg2 Hg 0.0000 0.0000 0.7562 1

(4)
# PBE-GGA Tl2Cd2Hg7, relaxed
# Distance to the lowest polymorph of the same formula = 21 meV/atom
data_Tl2Cd2Hg7
_cell_length_a 10.106
_cell_length_b 11.644
_cell_length_c 5.965
_cell_angle_alpha 90.00
_cell_angle_beta 119.87
_cell_angle_gamma 90.00
_space_group_name_H-M_alt 'C 1 2/m 1'
_space_group_IT_number 12
loop_
_space_group_symop_operation_xyz
'x,y,z'
'-x,-y,-z'
'-x,y,-z'
'x,-y,z'
'x+1/2,y+1/2,z'
'-x+1/2,-y+1/2,-z'
'-x+1/2,y+1/2,-z'
'x+1/2,-y+1/2,z'
loop_
_atom_site_label
_atom_site_type_symbol
_atom_site_fract_x
_atom_site_fract_y
_atom_site_fract_z
_atom_site_occupancy
Tl1 Tl 0.000 0.147 0.000 1
Cd1 Cd 0.180 0.500 0.497 1
Hg1 Hg 0.000 0.000 0.500 1
Hg2 Hg 0.150 0.500 0.973 1
Hg3 Hg 0.172 0.250 0.679 1

(5)
# PBE-GGA Tl2Cd2Hg3, relaxed
# Distance to the lowest polymorph of the same formula = 0 meV/atom
data_Tl2Cd2Hg3
_cell_length_a 14.429
_cell_length_b 3.508
_cell_length_c 7.942
_cell_angle_alpha 90.00
_cell_angle_beta 108.93
_cell_angle_gamma 90.00
_space_group_name_H-M_alt 'C 1 2/m 1'
_space_group_IT_number 12
loop_
_space_group_symop_operation_xyz
'x,y,z'
'-x,-y,-z'
'-x,y,-z'
'x,-y,z'
'x+1/2,y+1/2,z'
'-x+1/2,-y+1/2,-z'
'-x+1/2,y+1/2,-z'
'x+1/2,-y+1/2,z'
loop_
_atom_site_label
_atom_site_type_symbol
_atom_site_fract_x
_atom_site_fract_y
_atom_site_fract_z
_atom_site_occupancy
Tl1 Tl 0.073 0.000 0.213 1
Cd1 Cd 0.152 0.500 0.918 1
Hg1 Hg 0.000 0.500 0.500 1
Hg2 Hg 0.213 0.000 0.642 1

(6)
Tl4CdHg7: relaxed, PBE-GGA.

Structure (CIF):
```
data_Tl4CdHg7
_cell_length_a 5.1002
_cell_length_b 5.1002
_cell_length_c 15.1214
_cell_angle_alpha 90.00
_cell_angle_beta 90.00
_cell_angle_gamma 120.00
_space_group_name_H-M_alt 'P -3 m 1'
_space_group_IT_number 164
_space_group_name_Hall '-P 3 2"'
loop_
_atom_site_label
_atom_site_type_symbol
_atom_site_fract_x
_atom_site_fract_y
_atom_site_fract_z
_atom_site_occupancy
Tl1 Tl 0.3333 0.6667 0.1625 1
Tl2 Tl 0.3333 0.6667 0.4126 1
Cd1 Cd 0.0000 0.0000 0.0000 1
Hg1 Hg 0.0000 0.0000 0.2488 1
Hg2 Hg 0.0000 0.0000 0.5000 1
Hg3 Hg 0.3333 0.6667 0.6760 1
Hg4 Hg 0.3333 0.6667 0.9322 1
```

(7)
# PBE-GGA TlCd2Hg8, relaxed
# Distance to the lowest polymorph of the same formula = 8 meV/atom
data_TlCd2Hg8
_cell_length_a 8.303
_cell_length_b 13.804
_cell_length_c 5.634
_cell_angle_alpha 90.00
_cell_angle_beta 104.91
_cell_angle_gamma 90.00
_space_group_name_H-M_alt 'C 1 2/m 1'
_space_group_IT_number 12
loop_
_space_group_symop_operation_xyz
'x,y,z'
'-x,-y,-z'
'-x,y,-z'
'x,-y,z'
'x+1/2,y+1/2,z'
'-x+1/2,-y+1/2,-z'
'-x+1/2,y+1/2,-z'
'x+1/2,-y+1/2,z'
loop_
_atom_site_label
_atom_site_type_symbol
_atom_site_fract_x
_atom_site_fract_y
_atom_site_fract_z
_atom_site_occupancy
Tl1 Tl 0.000 0.000 0.000 1
Cd1 Cd 0.000 0.311 0.500 1
Hg1 Hg 0.000 0.244 0.000 1
Hg2 Hg 0.107 0.500 0.802 1
Hg3 Hg 0.195 0.116 0.644 1

(8)
# PBE-GGA Tl4CdHg2, relaxed
# Distance to the lowest polymorph of the same formula = 0 meV/atom
data_Tl4CdHg2
_cell_length_a 7.476
_cell_length_b 7.476
_cell_length_c 7.688
_cell_angle_alpha 90.00
_cell_angle_beta 90.00
_cell_angle_gamma 90.00
_space_group_name_H-M_alt 'I 4/m m m'
_space_group_IT_number 139
_space_group_name_Hall '-I 4 2'
loop_
_atom_site_label
_atom_site_type_symbol
_atom_site_fract_x
_atom_site_fract_y
_atom_site_fract_z
_atom_site_occupancy
Tl1 Tl 0.250 0.250 0.250 1
Cd1 Cd 0.000 0.000 0.000 1
Hg1 Hg 0.000 0.500 0.000 1

The total DFT energy (no corrections) results, record by record, are as follows: -0.6756 -1.4691 -0.9626 -0.7642 -1.0525 -1.0419 -0.5746 -1.5123 eV per atom.
The energy of formation results, record by record, are as follows: 20.9 18.3 8.6 24.5 14.4 -0.8 26.4 56.8 meV/atom.